Record 1
Compound: Cd2CN2Cl2
Source: Alexandria via LeMat-Bulk
Functional: GGA-PBE
Structure: optimized geometry

Calculated values
**Crystal system**: monoclinic
**Formation energy without anion corrections**: -0.370 eV per atom

```
7
Lattice="3.7463 0.0000 0.0000 -1.8732 5.0054 0.3063 0.0000 -0.5981 6.6079" Properties=species:S:1:pos:R:3 pbc="T T T"
Cl 0.0000 3.6085 1.0723
Cd 0.0000 2.5285 4.9925
N 0.0000 0.8911 2.9609
Cl 1.8732 0.7988 5.8419
C 0.0000 -0.2991 3.3040
N 1.8731 3.5162 3.9534
Cd 1.8732 1.8788 1.9217
```

Record 2
Compound: CdCNCl3
Source: Alexandria via LeMat-Bulk
Functional: GGA-PBE
Structure: optimized geometry

Calculated values
**Crystal system**: monoclinic
**Formation energy without anion corrections**: -0.321 eV per atom

```
12
Lattice="-4.2486 2.3135 -4.8055 0.5992 -5.8216 -3.3324 -6.0057 -0.9828 4.8366" Properties=species:S:1:pos:R:3 pbc="T T T"
Cl -6.1189 -0.8676 -2.2646
Cl -0.7890 -3.6746 -3.4904
Cd -2.1243 1.1568 -2.4028
Cl -3.5362 -3.6232 -1.0368
Cl -5.6339 -0.5988 2.2739
C -6.8592 -2.2963 -2.2979
N -2.2699 -1.1488 -0.9651
Cl -8.8661 -0.8162 0.1890
C -2.7959 -2.1945 -1.0035
N -7.3852 -3.3420 -2.3363
Cl -4.0212 -3.8920 -5.5752
Cd 0.0000 0.0000 0.0000
```

Record 3
Compound: CdC2S2N4Cl2
Source: Alexandria via LeMat-Bulk
Functional: GGA-PBE
Structure: optimized geometry

Calculated values
**Crystal system**: orthorhombic
**Formation energy without anion corrections**: 0.341 eV per atom

```
22
Lattice="-1.7781 2.8412 -4.6810 -4.0286 -3.9060 -0.8405 -10.9713 9.2150 9.7608" Properties=species:S:1:pos:R:3 pbc="T T T"
N -4.4274 2.6190 2.1010
N -13.1176 7.1754 3.4276
S -10.8901 8.4444 7.4045
Cl -10.2918 2.2295 1.7233
S -8.2639 3.2343 -0.1210
S -10.5264 5.1347 1.8919
C -6.6317 2.0494 -1.6567
N -6.8273 2.6812 -0.5118
Cl -7.3386 3.0284 4.2884
N -2.7925 2.4832 0.2197
C -12.0930 6.6365 3.2021
C -3.6493 2.4739 1.2266
N -8.5934 6.1181 5.8074
C -9.1592 7.1018 6.1286
Cd -4.5862 -2.0973 -3.1749
N -6.3123 1.4595 -2.6268
Cl -5.4760 -0.9617 -5.2472
Cl -2.7924 -0.4241 -2.7383
S -2.1814 1.1298 -0.3434
N -9.6999 8.2850 6.3651
Cd -8.0055 4.3801 2.2627
N -10.8911 6.0944 3.1036
```

Number 1: spin magnetization 0.00 μB/atom, DFT total energy -4.855 eV/atom, ρ 4.47 g/cm3. Number 2: spin magnetization 0.00 μB/atom, DFT total energy -4.321 eV/atom, ρ 2.36 g/cm3. Number 3: spin magnetization 0.00 μB/atom, DFT total energy -5.533 eV/atom, ρ 1.92 g/cm3.